Entry 1:
ScFe4Br2 PBE optimized geometry; space group = No. 139; formation energy without anion corrections = 1263.7 meV/atom; calculated volume = 142.3 Å³/cell
1.0
-2.327 2.327 6.570
2.327 -2.327 6.570
2.327 2.327 -6.570
Sc Fe Br
1 4 2
Direct
0.000 0.000 0.000
0.000 0.500 0.500
0.198 0.198 0.000
0.500 0.000 0.500
0.802 0.802 0.000
0.381 0.381 0.000
0.619 0.619 0.000

Entry 2:
Cs2ThH2Se4 PBE optimized geometry; space group = No. 12; DFT total energy = -4.193 eV/atom; calculated volume = 274.4 Å³/cell
1.0
9.569 -1.932 0.000
9.569 1.932 0.000
-3.258 0.000 7.419
Cs Th H Se
2 1 2 4
Direct
0.141 0.141 0.136
0.859 0.859 0.864
0.000 0.000 0.500
0.324 0.324 0.375
0.676 0.676 0.625
0.173 0.173 0.670
0.498 0.498 0.239
0.502 0.502 0.761
0.827 0.827 0.330

Entry 3:
AsPdPb PBE optimized geometry; space group = No. 187; formation enthalpy at 0 K = -0.21 eV/atom; calculated volume = 69.5 Å³/cell
1.0
4.277 0.000 0.000
-2.139 3.704 0.000
0.000 0.000 4.386
As Pd Pb
1 1 1
Direct
0.000 0.000 0.000
0.333 0.667 0.000
0.667 0.333 0.500

- Among the records above, which one has the lowest calculated volume?
  AsPdPb

- Which of these has the highest calculated volume?
  Cs2ThH2Se4

- What is the formula in the first record?
  ScFe4Br2